Material: Nd2TmTi
Method: DFT, PBE
State: optimized geometry

Space group: R-3m
Crystal system: trigonal
Energy above the lowest structure with this stoichiometry (eV/atom): 0.221
Formation energy from the elements (kcal/mol of atoms): 10.352

a = 12.023 Å, b = 12.023 Å, c = 12.023 Å
α = 16.21°, β = 16.21°, γ = 16.21°
Sites, in units of the cell vectors:
Nd 0.083 0.083 0.083
Nd 0.917 0.917 0.917
Tm 0.500 0.500 0.500
Ti 0.000 0.000 0.000

---

Material: UGa4Sb
Method: DFT, PBE
State: optimized geometry

Space group: F-43m
Crystal system: cubic
ΔE_f (raw) (eV per atom): 0.018

a = 5.556 Å, b = 5.556 Å, c = 5.556 Å
α = 60.00°, β = 60.00°, γ = 60.00°
Sites, in units of the cell vectors:
U 0.000 0.000 0.000
Ga 0.125 0.625 0.625
Ga 0.625 0.125 0.625
Ga 0.625 0.625 0.125
Ga 0.625 0.625 0.625
Sb 0.250 0.250 0.250

---

| no. | DOS at the Fermi energy (states/eV/atom) | raw total energy (eV/atom) |
| --- | --- | --- |
| 1 | 1.673 | -5.03 |
| 2 | 1.129 | -4.57 |